[1]
Tb3DyHg4 | GGA-PBE | optimized geometry

Unit cell a=5.2544 b=5.2544 c=7.5356 alpha=90.00 beta=90.00 gamma=90.00
Closest atoms and distances in Å follow each position.
Positions (direct):
Tb 0.0000 0.0000 0.0000  8 Hg 3.24
Tb 0.0000 0.0000 0.5000  8 Hg 3.23
Tb 0.5000 0.5000 0.0000  8 Hg 3.24
Dy 0.5000 0.5000 0.5000  8 Hg 3.23
Hg 0.0000 0.5000 0.2514  6 Tb 3.23-3.24, 2 Dy 3.23
Hg 0.0000 0.5000 0.7486  6 Tb 3.23-3.24, 2 Dy 3.23
Hg 0.5000 0.0000 0.2514  6 Tb 3.23-3.24, 2 Dy 3.23
Hg 0.5000 0.0000 0.7486  6 Tb 3.23-3.24, 2 Dy 3.23

## Properties
The density of states at the Fermi level is 8.66 states/eV per cell. Its space group is P4/mmm, No. 123. The calculation puts the energy above the most stable polymorph in this dataset at 0.000 eV per formula unit. For the formation energy, the calculation gives -11.09 kcal/mol of atoms. The total energy is -2.943 eV/atom. For the magnetization, the calculation gives 0.75 μB per formula unit.



[2]
TbDy5Hg6 | GGA-PBE | optimized geometry

Unit cell a=8.3364 b=8.3364 c=7.4603 alpha=90.00 beta=90.00 gamma=143.26
Closest atoms and distances in Å follow each position.
Positions (direct):
Tb 0.0000 0.0000 0.0000  8 Hg 3.22-3.24
Dy 0.0000 0.0000 0.5000  8 Hg 3.22-3.23
Dy 0.3330 0.6670 0.0000  8 Hg 3.22-3.24
Dy 0.3338 0.6662 0.5000  8 Hg 3.22
Dy 0.6662 0.3338 0.5000  8 Hg 3.22
Dy 0.6670 0.3330 0.0000  8 Hg 3.22-3.24
Hg 0.1671 0.8329 0.2511  7 Dy 3.22-3.23, 1 Tb 3.24
Hg 0.1671 0.8329 0.7489  7 Dy 3.22-3.23, 1 Tb 3.24
Hg 0.5000 0.5000 0.2504  6 Dy 3.22-3.24, 2 Tb 3.22
Hg 0.5000 0.5000 0.7496  6 Dy 3.22-3.24, 2 Tb 3.22
Hg 0.8329 0.1671 0.2511  7 Dy 3.22-3.23, 1 Tb 3.24
Hg 0.8329 0.1671 0.7489  7 Dy 3.22-3.23, 1 Tb 3.24

## Properties
The density of states at the Fermi level is 12.09 states/eV per cell. Its space group is Cmmm, No. 65. For the formation energy, the calculation gives -11.09 kcal/mol of atoms. The total energy is -2.935 eV/atom. For the magnetization, the calculation gives 0.00 μB per formula unit.



[3]
TbDy6Hg2 | GGA-PBE | optimized geometry

Unit cell a=6.5600 b=6.5600 c=11.8284 alpha=108.01 beta=108.01 gamma=32.99
Closest atoms and distances in Å follow each position.
Positions (direct):
Tb 0.0000 0.0000 0.0000  4 Hg 3.14
Dy 0.0163 0.0163 0.3378  2 Hg 3.17, 7 Dy 3.51-3.55
Dy 0.3120 0.3120 0.1238  2 Hg 3.20, 5 Dy 3.40-3.51
Dy 0.3122 0.3122 0.4151  2 Hg 3.26, 8 Dy 3.44-3.55
Dy 0.6878 0.6878 0.5849  2 Hg 3.26, 8 Dy 3.44-3.55
Dy 0.6880 0.6880 0.8762  2 Hg 3.20, 5 Dy 3.40-3.51
Dy 0.9837 0.9837 0.6622  2 Hg 3.17, 7 Dy 3.51-3.55
Hg 0.3557 0.3557 0.7932  2 Tb 3.14, 6 Dy 3.17-3.26
Hg 0.6443 0.6443 0.2068  2 Tb 3.14, 6 Dy 3.17-3.26

## Properties
The density of states at the Fermi level is 9.16 states/eV per cell. Its space group is C2/m, No. 12. For the formation energy, the calculation gives -4.80 kcal/mol of atoms. The total energy is -3.858 eV/atom. For the magnetization, the calculation gives 0.00 μB per formula unit.



[4]
Tb2Dy3Hg6 | GGA-PBE | optimized geometry

Unit cell a=13.7903 b=13.7903 c=13.7903 alpha=158.77 beta=158.77 gamma=30.20
Closest atoms and distances in Å follow each position.
Positions (direct):
Tb 0.1303 0.1303 0.0000  5 Hg 3.06-3.09
Tb 0.8697 0.8697 0.0000  5 Hg 3.06-3.09
Dy 0.3630 0.3630 0.0000  5 Hg 3.10-3.16
Dy 0.5000 0.5000 0.0000  8 Hg 3.09
Dy 0.6370 0.6370 0.0000  5 Hg 3.10-3.16
Hg 0.0661 0.5661 0.5000  2 Tb 3.06, 4 Dy 3.09-3.16
Hg 0.2465 0.2465 0.0000  1 Tb 3.09, 1 Dy 3.10
Hg 0.4339 0.9339 0.5000  2 Tb 3.06, 4 Dy 3.09-3.16
Hg 0.5661 0.0661 0.5000  2 Tb 3.06, 4 Dy 3.09-3.16
Hg 0.7535 0.7535 0.0000  1 Tb 3.09, 1 Dy 3.10
Hg 0.9339 0.4339 0.5000  2 Tb 3.06, 4 Dy 3.09-3.16

## Properties
The density of states at the Fermi level is 8.72 states/eV per cell. Its space group is I4/mmm, No. 139. For the formation energy, the calculation gives -2.40 kcal/mol of atoms. The total energy is -2.366 eV/atom. For the magnetization, the calculation gives 0.09 μB per formula unit.



[5]
Tb2DyHg | GGA-PBE | optimized geometry

Unit cell a=4.8105 b=4.8105 c=4.8190 alpha=90.00 beta=90.00 gamma=90.00
Closest atoms and distances in Å follow each position.
Positions (direct):
Tb 0.0000 0.5000 0.0000  4 Tb 3.40, 4 Hg 3.40, 4 Dy 3.40
Tb 0.5000 0.0000 0.0000  4 Tb 3.40, 4 Hg 3.40, 4 Dy 3.40
Dy 0.0000 0.0000 0.5000  4 Hg 3.40, 8 Tb 3.40
Hg 0.5000 0.5000 0.5000  4 Dy 3.40, 8 Tb 3.40

## Properties
The density of states at the Fermi level is 5.09 states/eV per cell. Its space group is P4/mmm, No. 123. The calculation puts the energy above the most stable polymorph in this dataset at 0.273 eV per formula unit. For the formation energy, the calculation gives -3.63 kcal/mol of atoms. The total energy is -3.698 eV/atom. For the magnetization, the calculation gives 0.61 μB per formula unit.



[6]
Tb2DyHg | GGA-PBE | optimized geometry

Unit cell a=6.4555 b=6.4555 c=8.5941 alpha=90.00 beta=90.00 gamma=137.99
Closest atoms and distances in Å follow each position.
Positions (direct):
Tb 0.1380 0.8620 0.5466  3 Hg 3.00-3.11
Tb 0.1380 0.8620 0.9534  3 Hg 3.00-3.11
Tb 0.8620 0.1380 0.0466  3 Hg 3.00-3.11
Tb 0.8620 0.1380 0.4534  3 Hg 3.00-3.11
Dy 0.4466 0.5534 0.7500  3 Hg 3.43-3.48, 8 Tb 3.59-3.70
Dy 0.5534 0.4466 0.2500  3 Hg 3.43-3.48, 8 Tb 3.59-3.70
Hg 0.2686 0.7314 0.2500  6 Tb 3.00-3.11
Hg 0.7314 0.2686 0.7500  6 Tb 3.00-3.11

## Properties
The density of states at the Fermi level is 10.36 states/eV per cell. Its space group is Cmcm, No. 63. The calculation puts the energy above the most stable polymorph in this dataset at 0.304 eV per formula unit. For the formation energy, the calculation gives -3.45 kcal/mol of atoms. The total energy is -3.691 eV/atom. For the magnetization, the calculation gives 0.00 μB per formula unit.



[7]
TbDy2Hg | GGA-PBE | optimized geometry

Unit cell a=6.4440 b=6.4440 c=8.4459 alpha=90.00 beta=90.00 gamma=137.06
Closest atoms and distances in Å follow each position.
Positions (direct):
Tb 0.0531 0.9469 0.7500  3 Hg 3.35-3.54, 8 Dy 3.58-3.72
Tb 0.9469 0.0531 0.2500  3 Hg 3.35-3.54, 8 Dy 3.58-3.72
Dy 0.3611 0.6389 0.5453  3 Hg 2.97-3.11
Dy 0.3611 0.6389 0.9547  3 Hg 2.97-3.11
Dy 0.6389 0.3611 0.0453  3 Hg 2.97-3.11
Dy 0.6389 0.3611 0.4547  3 Hg 2.97-3.11
Hg 0.2263 0.7737 0.2500  6 Dy 2.97-3.11
Hg 0.7737 0.2263 0.7500  6 Dy 2.97-3.11

## Properties
The density of states at the Fermi level is 11.17 states/eV per cell. Its space group is Cmcm, No. 63. The calculation puts the energy above the most stable polymorph in this dataset at 0.294 eV per formula unit. For the formation energy, the calculation gives -3.58 kcal/mol of atoms. The total energy is -3.689 eV/atom. For the magnetization, the calculation gives 0.00 μB per formula unit.



[8]
TbDyHg2 | GGA-PBE | optimized geometry

Unit cell a=3.7565 b=3.7565 c=9.4322 alpha=101.59 beta=101.59 gamma=59.89
Closest atoms and distances in Å follow each position.
Positions (direct):
Tb 0.0000 0.0000 0.0000  6 Hg 3.16-3.17
Dy 0.8339 0.8339 0.5013  6 Hg 3.13-3.15
Hg 0.2493 0.2493 0.7486  3 Dy 3.13-3.14, 3 Tb 3.16-3.17
Hg 0.4171 0.4171 0.2523  3 Dy 3.15, 3 Tb 3.17

## Properties
The density of states at the Fermi level is 3.65 states/eV per cell. Its space group is Cm, No. 8. The calculation puts the energy above the most stable polymorph in this dataset at 0.587 eV per formula unit. For the formation energy, the calculation gives -7.70 kcal/mol of atoms. The total energy is -2.793 eV/atom. For the magnetization, the calculation gives 0.00 μB per formula unit.